LiSm2Dy (PBE-GGA, optimized geometry); E_form = 0.169 eV/atom; V = 30.132 A^3/atom; calculated total energy = -0.2807 Ry per atom; symmetry = Fm-3m (225); N(E_F) = 16.4 states/eV per cell
1.0
7.841 0.000 0.000
0.000 7.841 0.000
0.000 0.000 7.841
Li Sm Dy
4 8 4
direct
0.000 0.000 0.000 Li
0.000 0.500 0.500 Li
0.500 0.000 0.500 Li
0.500 0.500 0.000 Li
0.250 0.250 0.250 Sm
0.250 0.250 0.750 Sm
0.250 0.750 0.250 Sm
0.250 0.750 0.750 Sm
0.750 0.250 0.250 Sm
0.750 0.250 0.750 Sm
0.750 0.750 0.250 Sm
0.750 0.750 0.750 Sm
0.000 0.000 0.500 Dy
0.000 0.500 0.000 Dy
0.500 0.000 0.000 Dy
0.500 0.500 0.500 Dy

Er3TeH3 (PBE-GGA, optimized geometry); V = 16.549 A^3/atom; calculated total energy = -0.3248 Ry per atom; symmetry = Pm-3n (223); N(E_F) = 11.3 states/eV per cell
1.0
6.142 0.000 0.000
0.000 6.142 0.000
0.000 0.000 6.142
Er Te H
6 2 6
direct
0.000 0.250 0.500 Er
0.000 0.750 0.500 Er
0.250 0.500 0.000 Er
0.500 0.000 0.250 Er
0.500 0.000 0.750 Er
0.750 0.500 0.000 Er
0.000 0.000 0.000 Te
0.500 0.500 0.500 Te
0.000 0.500 0.250 H
0.000 0.500 0.750 H
0.250 0.000 0.500 H
0.500 0.250 0.000 H
0.500 0.750 0.000 H
0.750 0.000 0.500 H

BaHgIr (PBE-GGA, optimized geometry); E_form = -0.032 eV/atom; V = 29.092 A^3/atom; calculated total energy = -0.2739 Ry per atom; symmetry = P-6m2 (187); N(E_F) = 2.1 states/eV per cell
1.0
4.688 0.000 0.000
-2.344 4.060 0.000
0.000 0.000 4.585
Ba Hg Ir
1 1 1
direct
0.000 0.000 0.000 Ba
0.667 0.333 0.500 Hg
0.333 0.667 0.500 Ir

UAlRe (PBE-GGA, optimized geometry); E_form = 0.259 eV/atom; V = 17.902 A^3/atom; calculated total energy = -0.6542 Ry per atom; symmetry = Immm (71); N(E_F) = 19.5 states/eV per cell
1.0
4.778 0.000 0.000
0.000 5.879 0.000
0.000 0.000 7.648
U Al Re
4 4 4
direct
0.000 0.000 0.168 U
0.000 0.000 0.832 U
0.500 0.500 0.332 U
0.500 0.500 0.668 U
0.000 0.500 0.159 Al
0.000 0.500 0.841 Al
0.500 0.000 0.341 Al
0.500 0.000 0.659 Al
0.000 0.239 0.500 Re
0.000 0.761 0.500 Re
0.500 0.261 0.000 Re
0.500 0.739 0.000 Re

Tb3Pr2HoTm6 (PBE-GGA, optimized geometry); E_form = 0.021 eV/atom; V = 31.411 A^3/atom; calculated total energy = -0.3344 Ry per atom; symmetry = C2/m (12); N(E_F) = 14.8 states/eV per cell
1.0
3.075 -5.323 0.000
3.075 5.323 0.000
-2.042 0.000 11.513
Tb Pr Ho Tm
3 2 1 6
direct
0.000 0.000 0.000 Tb
0.333 0.667 0.000 Tb
0.667 0.333 0.000 Tb
0.167 0.833 0.500 Pr
0.833 0.167 0.500 Pr
0.500 0.500 0.500 Ho
0.083 0.416 0.248 Tm
0.252 0.252 0.753 Tm
0.416 0.083 0.248 Tm
0.584 0.917 0.752 Tm
0.748 0.748 0.247 Tm
0.917 0.584 0.752 Tm

TcBr2Cl (PBE-GGA, optimized geometry); V = 32.326 A^3/atom; calculated total energy = -0.3101 Ry per atom; symmetry = C2/m (12); N(E_F) = 3.3 states/eV per cell
1.0
14.774 0.000 0.000
0.000 3.630 0.000
-0.112 0.000 4.822
Tc Br Cl
2 4 2
direct
0.000 0.000 0.000 Tc
0.500 0.500 0.000 Tc
0.122 0.500 0.009 Br
0.378 0.000 0.991 Br
0.622 0.000 0.009 Br
0.878 0.500 0.991 Br
0.000 0.000 0.500 Cl
0.500 0.500 0.500 Cl

HgS2N2 (PBE-GGA, optimized geometry); V = 23.856 A^3/atom; calculated total energy = -0.1822 Ry per atom; symmetry = P4/mmm (123); N(E_F) = 3.3 states/eV per cell
1.0
5.182 0.000 0.000
0.000 5.182 0.000
0.000 0.000 4.441
Hg S N
1 2 2
direct
0.000 0.000 0.000 Hg
0.000 0.500 0.000 S
0.500 0.000 0.000 S
0.000 0.000 0.500 N
0.500 0.500 0.500 N

Ta4NbRh (PBE-GGA, optimized geometry); E_form = -0.228 eV/atom; V = 17.442 A^3/atom; calculated total energy = -0.8109 Ry per atom; symmetry = Cmmm (65); N(E_F) = 7.0 states/eV per cell
1.0
4.584 0.000 0.000
0.000 9.941 0.000
0.000 0.000 4.593
Ta Nb Rh
8 2 2
direct
0.000 0.163 0.000 Ta
0.000 0.335 0.500 Ta
0.000 0.665 0.500 Ta
0.000 0.837 0.000 Ta
0.500 0.165 0.500 Ta
0.500 0.337 0.000 Ta
0.500 0.663 0.000 Ta
0.500 0.835 0.500 Ta
0.000 0.000 0.500 Nb
0.500 0.500 0.500 Nb
0.000 0.500 0.000 Rh
0.500 0.000 0.000 Rh

AlHgPt2 (PBE-GGA, optimized geometry); E_form = -0.142 eV/atom; V = 17.014 A^3/atom; calculated total energy = -0.3067 Ry per atom; symmetry = R3m (160); N(E_F) = 10.5 states/eV per cell
1.0
2.989 0.000 0.000
-1.494 2.589 0.000
0.000 0.000 26.389
Al Hg Pt
3 3 6
direct
0.000 0.000 0.000 Al
0.333 0.667 0.667 Al
0.667 0.333 0.333 Al
0.000 0.000 0.756 Hg
0.333 0.667 0.422 Hg
0.667 0.333 0.089 Hg
0.000 0.000 0.264 Pt
0.000 0.000 0.511 Pt
0.333 0.667 0.177 Pt
0.333 0.667 0.931 Pt
0.667 0.333 0.598 Pt
0.667 0.333 0.844 Pt

Ta2MnZn (PBE-GGA, optimized geometry); E_form = 0.271 eV/atom; V = 15.785 A^3/atom; calculated total energy = -0.6076 Ry per atom; symmetry = F-43m (216); N(E_F) = 16.8 states/eV per cell
1.0
6.321 0.000 0.000
0.000 6.321 0.000
0.000 0.000 6.321
Ta Mn Zn
8 4 4
direct
0.000 0.000 0.000 Ta
0.000 0.500 0.500 Ta
0.250 0.250 0.250 Ta
0.250 0.750 0.750 Ta
0.500 0.000 0.500 Ta
0.500 0.500 0.000 Ta
0.750 0.250 0.750 Ta
0.750 0.750 0.250 Ta
0.000 0.000 0.500 Mn
0.000 0.500 0.000 Mn
0.500 0.000 0.000 Mn
0.500 0.500 0.500 Mn
0.250 0.250 0.750 Zn
0.250 0.750 0.250 Zn
0.750 0.250 0.250 Zn
0.750 0.750 0.750 Zn

TcSb2IO (PBE-GGA, optimized geometry); V = 23.643 A^3/atom; calculated total energy = -0.3226 Ry per atom; symmetry = P4/mmm (123); N(E_F) = 3.3 states/eV per cell
1.0
4.463 0.000 0.000
0.000 4.463 0.000
0.000 0.000 5.934
Tc Sb I O
1 2 1 1
direct
0.000 0.000 0.000 Tc
0.000 0.500 0.500 Sb
0.500 0.000 0.500 Sb
0.500 0.500 0.000 I
0.500 0.500 0.500 O

SiTc4B (PBE-GGA, optimized geometry); V = 12.565 A^3/atom; calculated total energy = -0.6723 Ry per atom; symmetry = P4/mmm (123); N(E_F) = 2.4 states/eV per cell
1.0
2.862 0.000 0.000
0.000 2.862 0.000
0.000 0.000 9.203
Si Tc B
1 4 1
direct
0.000 0.000 0.000 Si
0.000 0.000 0.358 Tc
0.000 0.000 0.642 Tc
0.500 0.500 0.165 Tc
0.500 0.500 0.835 Tc
0.500 0.500 0.500 B

TbSc2Rh4 (PBE-GGA, optimized geometry); E_form = -0.511 eV/atom; V = 18.788 A^3/atom; calculated total energy = -0.5279 Ry per atom; symmetry = I4/mmm (139); N(E_F) = 8.6 states/eV per cell
1.0
6.503 0.000 0.000
0.000 6.503 0.000
0.000 0.000 6.220
Tb Sc Rh
2 4 8
direct
0.000 0.000 0.000 Tb
0.500 0.500 0.500 Tb
0.000 0.500 0.000 Sc
0.000 0.500 0.500 Sc
0.500 0.000 0.000 Sc
0.500 0.000 0.500 Sc
0.250 0.250 0.250 Rh
0.250 0.250 0.750 Rh
0.250 0.750 0.250 Rh
0.250 0.750 0.750 Rh
0.750 0.250 0.250 Rh
0.750 0.250 0.750 Rh
0.750 0.750 0.250 Rh
0.750 0.750 0.750 Rh

Pa2Cu3Sn (PBE-GGA, optimized geometry); E_form = 0.011 eV/atom; V = 19.803 A^3/atom; calculated total energy = -0.4314 Ry per atom; symmetry = Imm2 (44); N(E_F) = 15.9 states/eV per cell
1.0
3.335 0.000 0.000
0.000 4.490 0.000
0.000 0.000 15.868
Pa Cu Sn
4 6 2
direct
0.000 0.000 0.000 Pa
0.000 0.500 0.291 Pa
0.500 0.000 0.791 Pa
0.500 0.500 0.500 Pa
0.000 0.000 0.446 Cu
0.000 0.500 0.691 Cu
0.000 0.500 0.842 Cu
0.500 0.000 0.191 Cu
0.500 0.000 0.342 Cu
0.500 0.500 0.946 Cu
0.000 0.000 0.611 Sn
0.500 0.500 0.111 Sn

Pu3BiAu (PBE-GGA, optimized geometry); E_form = -0.172 eV/atom; V = 27.071 A^3/atom; calculated total energy = -0.7499 Ry per atom; symmetry = Pm-3m (221); N(E_F) = 76.3 states/eV per cell
1.0
7.405 0.000 0.000
0.000 7.405 0.000
0.000 0.000 7.405
Pu Bi Au
9 3 3
direct
0.000 0.000 0.000 Pu
0.272 0.272 0.272 Pu
0.272 0.272 0.728 Pu
0.272 0.728 0.272 Pu
0.272 0.728 0.728 Pu
0.728 0.272 0.272 Pu
0.728 0.272 0.728 Pu
0.728 0.728 0.272 Pu
0.728 0.728 0.728 Pu
0.000 0.000 0.500 Bi
0.000 0.500 0.000 Bi
0.500 0.000 0.000 Bi
0.000 0.500 0.500 Au
0.500 0.000 0.500 Au
0.500 0.500 0.000 Au

GaAsO4 (PBE-GGA, optimized geometry); V = 15.924 A^3/atom; calculated total energy = -0.4453 Ry per atom; symmetry = C222_1 (20); N(E_F) = 0.0 states/eV per cell
1.0
3.604 -3.616 0.000
3.604 3.616 0.000
0.000 0.000 7.331
Ga As O
2 2 8
direct
0.181 0.181 0.000 Ga
0.819 0.819 0.500 Ga
0.322 0.678 0.750 As
0.678 0.322 0.250 As
0.172 0.776 0.552 O
0.224 0.828 0.948 O
0.271 0.349 0.785 O
0.349 0.271 0.215 O
0.651 0.729 0.715 O
0.729 0.651 0.285 O
0.776 0.172 0.448 O
0.828 0.224 0.052 O

Nd5Sb2Se2 (PBE-GGA, optimized geometry); V = 28.577 A^3/atom; calculated total energy = -0.4123 Ry per atom; symmetry = Cmce (64); N(E_F) = 15.5 states/eV per cell
1.0
7.692 -4.064 0.000
7.692 4.064 0.000
0.000 0.000 8.226
Nd Sb Se
10 4 4
direct
0.000 0.000 0.000 Nd
0.020 0.696 0.654 Nd
0.196 0.520 0.154 Nd
0.304 0.980 0.654 Nd
0.480 0.804 0.154 Nd
0.500 0.500 0.500 Nd
0.520 0.196 0.846 Nd
0.696 0.020 0.346 Nd
0.804 0.480 0.846 Nd
0.980 0.304 0.346 Nd
0.141 0.859 0.358 Sb
0.359 0.641 0.858 Sb
0.641 0.359 0.142 Sb
0.859 0.141 0.642 Sb
0.195 0.195 0.000 Se
0.305 0.305 0.500 Se
0.695 0.695 0.500 Se
0.805 0.805 0.000 Se

Nd2Y2Ho4Tm (PBE-GGA, optimized geometry); E_form = -0.001 eV/atom; V = 32.134 A^3/atom; calculated total energy = -0.3696 Ry per atom; symmetry = C2/m (12); N(E_F) = 12.4 states/eV per cell
1.0
9.333 -1.799 0.000
9.333 1.799 0.000
-4.148 0.000 8.612
Nd Y Ho Tm
2 2 4 1
direct
0.165 0.165 0.000 Nd
0.835 0.835 0.000 Nd
0.353 0.353 0.338 Y
0.647 0.647 0.662 Y
0.019 0.019 0.334 Ho
0.315 0.315 0.664 Ho
0.685 0.685 0.336 Ho
0.981 0.981 0.666 Ho
0.500 0.500 0.000 Tm

Ca3IN (PBE-GGA, optimized geometry); V = 25.294 A^3/atom; calculated total energy = -0.2817 Ry per atom; symmetry = Pm-3m (221); N(E_F) = 3.0 states/eV per cell
1.0
5.020 0.000 0.000
0.000 5.020 0.000
0.000 0.000 5.020
Ca I N
3 1 1
direct
0.000 0.000 0.500 Ca
0.000 0.500 0.000 Ca
0.500 0.000 0.000 Ca
0.500 0.500 0.500 I
0.000 0.000 0.000 N

BeSn3Pt (PBE-GGA, optimized geometry); E_form = 0.414 eV/atom; V = 22.190 A^3/atom; calculated total energy = -0.2897 Ry per atom; symmetry = Pm-3m (221); N(E_F) = 2.2 states/eV per cell
1.0
4.805 0.000 0.000
0.000 4.805 0.000
0.000 0.000 4.805
Be Sn Pt
1 3 1
direct
0.000 0.000 0.000 Be
0.000 0.000 0.500 Sn
0.000 0.500 0.000 Sn
0.500 0.000 0.000 Sn
0.500 0.500 0.500 Pt

PrTaRu2 (PBE-GGA, optimized geometry); E_form = -0.238 eV/atom; V = 18.864 A^3/atom; calculated total energy = -0.6640 Ry per atom; symmetry = P4/mmm (123); N(E_F) = 2.3 states/eV per cell
1.0
3.223 0.000 0.000
0.000 3.223 0.000
0.000 0.000 7.264
Pr Ta Ru
1 1 2
direct
0.000 0.000 0.000 Pr
0.000 0.000 0.500 Ta
0.500 0.500 0.295 Ru
0.500 0.500 0.705 Ru

CaScMo2 (PBE-GGA, optimized geometry); E_form = 0.493 eV/atom; V = 22.446 A^3/atom; calculated total energy = -0.5149 Ry per atom; symmetry = P4/mmm (123); N(E_F) = 5.0 states/eV per cell
1.0
3.714 0.000 0.000
0.000 3.714 0.000
0.000 0.000 6.510
Ca Sc Mo
1 1 2
direct
0.000 0.000 0.000 Ca
0.000 0.000 0.500 Sc
0.500 0.500 0.325 Mo
0.500 0.500 0.675 Mo

CdHg2Au (PBE-GGA, optimized geometry); E_form = 0.069 eV/atom; V = 22.027 A^3/atom; calculated total energy = -0.0831 Ry per atom; symmetry = Pmmm (47); N(E_F) = 1.2 states/eV per cell
1.0
3.313 0.000 0.000
0.000 4.859 0.000
0.000 0.000 5.474
Cd Hg Au
1 2 1
direct
0.000 0.000 0.000 Cd
0.000 0.500 0.500 Hg
0.500 0.500 0.000 Hg
0.500 0.000 0.500 Au

ReBiMo2Ru (PBE-GGA, optimized geometry); E_form = 1.573 eV/atom; V = 21.531 A^3/atom; calculated total energy = -0.5792 Ry per atom; symmetry = P4/mmm (123); N(E_F) = 6.3 states/eV per cell
1.0
4.755 0.000 0.000
0.000 4.755 0.000
0.000 0.000 4.762
Re Bi Mo Ru
1 1 2 1
direct
0.000 0.000 0.000 Re
0.500 0.500 0.000 Bi
0.000 0.500 0.500 Mo
0.500 0.000 0.500 Mo
0.000 0.000 0.500 Ru

MgAlBr2 (PBE-GGA, optimized geometry); V = 32.364 A^3/atom; calculated total energy = -0.2050 Ry per atom; symmetry = R-3m (166); N(E_F) = 5.9 states/eV per cell
1.0
3.713 0.000 0.000
-1.856 3.215 0.000
0.000 0.000 32.533
Mg Al Br
3 3 6
direct
0.000 0.000 0.000 Mg
0.333 0.667 0.667 Mg
0.667 0.333 0.333 Mg
0.000 0.000 0.500 Al
0.333 0.667 0.167 Al
0.667 0.333 0.833 Al
0.000 0.000 0.285 Br
0.000 0.000 0.715 Br
0.333 0.667 0.382 Br
0.333 0.667 0.952 Br
0.667 0.333 0.048 Br
0.667 0.333 0.618 Br

Tb2CBr3 (PBE-GGA, optimized geometry); V = 30.374 A^3/atom; calculated total energy = -0.3834 Ry per atom; symmetry = C2/m (12); N(E_F) = 0.5 states/eV per cell
1.0
8.784 -1.957 0.000
8.784 1.957 0.000
-6.878 0.000 10.600
Tb C Br
4 2 6
direct
0.069 0.069 0.225 Tb
0.370 0.370 0.983 Tb
0.630 0.630 0.017 Tb
0.931 0.931 0.775 Tb
0.038 0.038 0.992 C
0.962 0.962 0.008 C
0.162 0.162 0.866 Br
0.291 0.291 0.719 Br
0.454 0.454 0.633 Br
0.546 0.546 0.367 Br
0.709 0.709 0.281 Br
0.838 0.838 0.134 Br